[1]
Crystalline HfZr2TiO at its relaxed geometry, computed with GGA-PBE.

The electronic total energy is -9.048 eV/atom. The calculation puts the formation energy without anion corrections at -5.3 eV/f.u. The density comes out at 8.02 Mg/m³. Its density of states at the Fermi level is 5.8 states/eV/f.u.

It has space group P4/mmm (No. 123), with a = 4.611 Å, b = 4.611 Å, c = 4.139 Å, α = 90.00°, β = 90.00° and γ = 90.00°. Symmetry generates all atoms from Hf at (0.000, 0.000, 0.000), Zr at (0.000, 0.500, 0.500), Ti at (0.500, 0.500, 0.000) and O at (0.500, 0.500, 0.500).

***

[2]
Crystalline CeTmTePb at its relaxed geometry, computed with GGA-PBE.

The electronic total energy is -4.993 eV/atom. The calculation puts the formation energy without anion corrections at -2.7 eV/f.u. The density comes out at 9.46 Mg/m³. Its density of states at the Fermi level is 6.3 states/eV/f.u.

It has space group F-43m (No. 216), with a = 7.675 Å, b = 7.675 Å, c = 7.675 Å, α = 90.00°, β = 90.00° and γ = 90.00°. Symmetry generates all atoms from Ce at (0.000, 0.000, 0.000), Tm at (0.000, 0.000, 0.500), Te at (0.250, 0.250, 0.250) and Pb at (0.250, 0.250, 0.750).

***

[3]
Crystalline Er3Mg2Pt3 at its relaxed geometry, computed with GGA-PBE.

For the formation energy, the calculation gives -8.38 eV per formula unit. The electronic total energy is -5.422 eV/atom. The density comes out at 11.02 Mg/m³. Its density of states at the Fermi level is 3.6 states/eV/f.u.

It has space group P6_3/mcm (No. 193), with a = 8.3200 Å, b = 8.3200 Å, c = 5.7076 Å, α = 90.00°, β = 90.00° and γ = 120.00°. Symmetry generates all atoms from Er at (0.0000, 0.2705, 0.2500), Mg at (0.3333, 0.6667, 0.0000) and Pt at (0.0000, 0.3866, 0.7500).

***

[4]
Crystalline BePdPbAu at its relaxed geometry, computed with GGA-PBE.

For the formation energy, the calculation gives -0.56 eV per formula unit. The electronic total energy is -4.115 eV/atom. The density comes out at 11.56 Mg/m³. Its density of states at the Fermi level is 1.5 states/eV/f.u.

It has space group Cm (No. 8), with a = 6.325 Å, b = 3.641 Å, c = 6.802 Å, α = 90.00°, β = 107.55° and γ = 90.00°. Symmetry generates all atoms from Be at (0.000, 0.000, 0.000), Pd at (0.213, 0.500, 0.141), Pb at (0.492, 0.000, 0.477) and Au at (0.277, 0.000, 0.831).

***

[5]
Crystalline ZrTiV2 at its relaxed geometry, computed with GGA-PBE.

For the formation energy, the calculation gives 0.57 eV per formula unit. The electronic total energy is -8.527 eV/atom. The density comes out at 5.89 Mg/m³. Its density of states at the Fermi level is 5.0 states/eV/f.u.

It has space group P4/mmm (No. 123), with a = 3.324 Å, b = 3.324 Å, c = 6.154 Å, α = 90.00°, β = 90.00° and γ = 90.00°. Symmetry generates all atoms from Zr at (0.000, 0.000, 0.000), Ti at (0.000, 0.000, 0.500) and V at (0.500, 0.500, 0.296).

***

[6]
Crystalline Pd5Pt2Au at its relaxed geometry, computed with GGA-PBE.

For the formation energy, the calculation gives 1.18 eV per formula unit. The electronic total energy is -5.018 eV/atom. The density comes out at 14.05 Mg/m³. Its density of states at the Fermi level is 12.4 states/eV/f.u.

It has space group Cmcm (No. 63), with a = 4.727 Å, b = 10.065 Å, c = 11.122 Å, α = 90.00°, β = 90.00° and γ = 90.00°. Symmetry generates all atoms from Pd at (0.000, 0.127, 0.122), Pd at (0.000, 0.363, 0.750), Pd at (0.000, 0.368, 0.000), Pt at (0.000, 0.132, 0.625) and Au at (0.000, 0.369, 0.250).

***

[7]
Crystalline ScHgS2 at its relaxed geometry, computed with GGA-PBE.

The electronic total energy is -4.616 eV/atom. The calculation puts the formation energy without anion corrections at -3.6 eV/f.u. The density comes out at 4.57 Mg/m³. Its density of states at the Fermi level is 2.8 states/eV/f.u.

It has space group I-42d (No. 122), with a = 6.271 Å, b = 6.271 Å, c = 11.451 Å, α = 90.00°, β = 90.00° and γ = 90.00°. Symmetry generates all atoms from Sc at (0.000, 0.000, 0.000), Hg at (0.000, 0.000, 0.500) and S at (0.199, 0.250, 0.125).

***

[8]
Crystalline YCdCl5 at its relaxed geometry, computed with GGA-PBE.

The electronic total energy is -4.054 eV/atom. The calculation puts the formation energy without anion corrections at -11.8 eV/f.u. The density comes out at 3.06 Mg/m³. Its density of states at the Fermi level is 0.0 states/eV/f.u.

It has space group C2/c (No. 15), with a = 11.249 Å, b = 8.527 Å, c = 9.311 Å, α = 90.00°, β = 113.07° and γ = 90.00°. Symmetry generates all atoms from Y at (0.000, 0.050, 0.250), Cd at (0.000, 0.500, 0.000), Cl at (0.000, 0.374, 0.250), Cl at (0.018, 0.180, 0.961) and Cl at (0.250, 0.047, 0.361).

***

[9]
Crystalline K2Li2ThTe4 at its relaxed geometry, computed with GGA-PBE.

The electronic total energy is -4.070 eV/atom. The calculation puts the formation energy without anion corrections at -10.6 eV/f.u. The density comes out at 4.56 Mg/m³.

It has space group C2/m (No. 12), with a = 16.703 Å, b = 4.599 Å, c = 8.436 Å, α = 90.00°, β = 110.43° and γ = 90.00°. Symmetry generates all atoms from K at (0.139, 0.000, 0.065), Li at (0.182, 0.500, 0.489), Th at (0.000, 0.000, 0.500), Te at (0.016, 0.500, 0.256) and Te at (0.199, 0.000, 0.684).

***

[10]
Crystalline TmPa2ReC4 at its relaxed geometry, computed with GGA-PBE.

For the formation energy, the calculation gives -1.03 eV per formula unit. The electronic total energy is -9.229 eV/atom. The density comes out at 11.47 Mg/m³. Its density of states at the Fermi level is 4.7 states/eV/f.u.

It has space group Cmcm (No. 63), with a = 3.568 Å, b = 11.781 Å, c = 11.923 Å, α = 90.00°, β = 90.00° and γ = 90.00°. Symmetry generates all atoms from Tm at (0.000, 0.127, 0.250), Pa at (0.000, 0.367, 0.041), Re at (0.000, 0.139, 0.750), C at (0.000, 0.000, 0.000), C at (0.000, 0.262, 0.631) and C at (0.000, 0.440, 0.250).

***

[11]
Crystalline Zr6SbC4 at its relaxed geometry, computed with GGA-PBE.

The electronic total energy is -9.171 eV/atom. The calculation puts the formation energy without anion corrections at -8.6 eV/f.u. The density comes out at 6.80 Mg/m³. Its density of states at the Fermi level is 3.3 states/eV/f.u.

It has space group Cmcm (No. 63), with a = 3.465 Å, b = 11.271 Å, c = 17.935 Å, α = 90.00°, β = 90.00° and γ = 90.00°. Symmetry generates all atoms from Zr at (0.000, 0.000, 0.000), Zr at (0.000, 0.136, 0.250), Zr at (0.000, 0.274, 0.576), Zr at (0.000, 0.464, 0.146), Sb at (0.000, 0.162, 0.750), C at (0.000, 0.091, 0.121) and C at (0.000, 0.361, 0.039).

***

[12]
Crystalline GdTmCdIr at its relaxed geometry, computed with GGA-PBE.

For the formation energy, the calculation gives -2.19 eV per formula unit. The electronic total energy is -7.629 eV/atom. The density comes out at 11.65 Mg/m³. Its density of states at the Fermi level is 2.4 states/eV/f.u.

It has space group F-43m (No. 216), with a = 7.112 Å, b = 7.112 Å, c = 7.112 Å, α = 90.00°, β = 90.00° and γ = 90.00°. Symmetry generates all atoms from Gd at (0.000, 0.000, 0.000), Tm at (0.000, 0.000, 0.500), Cd at (0.250, 0.250, 0.250) and Ir at (0.250, 0.250, 0.750).

***

[13]
Crystalline Mg3Au at its relaxed geometry, computed with GGA-PBE.

For the formation energy, the calculation gives -1.26 eV per formula unit. The electronic total energy is -2.330 eV/atom. The density comes out at 5.60 Mg/m³. Its density of states at the Fermi level is 1.4 states/eV/f.u.

It has space group Imm2 (No. 44), with a = 3.523 Å, b = 9.591 Å, c = 4.740 Å, α = 90.00°, β = 90.00° and γ = 90.00°. Symmetry generates all atoms from Mg at (0.000, 0.000, 0.000), Mg at (0.000, 0.225, 0.499) and Au at (0.000, 0.500, 0.001).

***

[14]
Crystalline SnOs2CN at its relaxed geometry, computed with GGA-PBE.

The electronic total energy is -6.995 eV/atom. The calculation puts the formation energy without anion corrections at 9.0 eV/f.u. The density comes out at 10.83 Mg/m³. Its density of states at the Fermi level is 3.9 states/eV/f.u.

It has space group P4/mmm (No. 123), with a = 3.843 Å, b = 3.843 Å, c = 5.451 Å, α = 90.00°, β = 90.00° and γ = 90.00°. Symmetry generates all atoms from Sn at (0.000, 0.000, 0.000), Os at (0.000, 0.500, 0.500), C at (0.500, 0.500, 0.000) and N at (0.000, 0.000, 0.500).

***

[15]
Crystalline Cr2ReRh at its relaxed geometry, computed with GGA-PBE.

For the formation energy, the calculation gives 3.02 eV per formula unit. The electronic total energy is -9.007 eV/atom. The density comes out at 11.30 Mg/m³. Its density of states at the Fermi level is 6.5 states/eV/f.u.

It has space group I-42d (No. 122), with a = 6.702 Å, b = 6.702 Å, c = 5.146 Å, α = 90.00°, β = 90.00° and γ = 90.00°. Symmetry generates all atoms from Cr at (0.243, 0.750, 0.125), Re at (0.000, 0.000, 0.000) and Rh at (0.000, 0.000, 0.500).

***

[16]
Crystalline Pu4Zn2Rh5 at its relaxed geometry, computed with GGA-PBE.

For the formation energy, the calculation gives -4.70 eV per formula unit. The electronic total energy is -9.212 eV/atom. The density comes out at 13.11 Mg/m³. Its density of states at the Fermi level is 27.5 states/eV/f.u.

It has space group Ibam (No. 72), with a = 8.350 Å, b = 17.671 Å, c = 5.568 Å, α = 90.00°, β = 90.00° and γ = 90.00°. Symmetry generates all atoms from Pu at (0.120, 0.149, 0.000), Pu at (0.228, 0.437, 0.000), Zn at (0.000, 0.302, 0.250), Rh at (0.000, 0.000, 0.250), Rh at (0.093, 0.426, 0.500) and Rh at (0.203, 0.214, 0.500).

***

[17]
Crystalline Co4Ni3 at its relaxed geometry, computed with GGA-PBE.

For the formation energy, the calculation gives 1.19 eV per formula unit. The electronic total energy is -6.368 eV/atom. The density comes out at 8.62 Mg/m³. Its density of states at the Fermi level is 9.1 states/eV/f.u.

It has space group P6/mmm (No. 191), with a = 4.5476 Å, b = 4.5476 Å, c = 4.4307 Å, α = 90.00°, β = 90.00° and γ = 120.00°. Symmetry generates all atoms from Co at (0.0000, 0.0000, 0.2430), Co at (0.3333, 0.6667, 0.0000) and Ni at (0.0000, 0.5000, 0.5000).

***

[18]
Crystalline CdGaAgPb at its relaxed geometry, computed with GGA-PBE.

For the formation energy, the calculation gives 0.54 eV per formula unit. The electronic total energy is -2.490 eV/atom. The density comes out at 8.85 Mg/m³. Its density of states at the Fermi level is 2.0 states/eV/f.u.

It has space group F-43m (No. 216), with a = 7.199 Å, b = 7.199 Å, c = 7.199 Å, α = 90.00°, β = 90.00° and γ = 90.00°. Symmetry generates all atoms from Cd at (0.000, 0.000, 0.000), Ga at (0.250, 0.250, 0.250), Ag at (0.000, 0.000, 0.500) and Pb at (0.250, 0.250, 0.750).

***

[19]
Crystalline Sc2CdSe at its relaxed geometry, computed with GGA-PBE.

The electronic total energy is -4.853 eV/atom. The calculation puts the formation energy without anion corrections at -2.4 eV/f.u. The density comes out at 5.53 Mg/m³. Its density of states at the Fermi level is 4.0 states/eV/f.u.

It has space group P4/mmm (No. 123), with a = 4.995 Å, b = 4.995 Å, c = 3.385 Å, α = 90.00°, β = 90.00° and γ = 90.00°. Symmetry generates all atoms from Sc at (0.000, 0.500, 0.000), Cd at (0.000, 0.000, 0.500) and Se at (0.500, 0.500, 0.500).

***

[20]
Crystalline RbSe3S at its relaxed geometry, computed with GGA-PBE.

The electronic total energy is -1.778 eV/atom. The calculation puts the formation energy without anion corrections at 6.7 eV/f.u. The density comes out at 2.16 Mg/m³. Its density of states at the Fermi level is 9.4 states/eV/f.u.

It has space group Pm-3m (No. 221), with a = 6.482 Å, b = 6.482 Å, c = 6.482 Å, α = 90.00°, β = 90.00° and γ = 90.00°. Symmetry generates all atoms from Rb at (0.000, 0.000, 0.000), Se at (0.000, 0.000, 0.500) and S at (0.500, 0.500, 0.500).